PaCoIr: optimized geometry, GGA-PBE.

It has space group P-6m2 (No. 187), with a = 4.1315 Å, b = 4.1315 Å, c = 3.7356 Å, α = 90.00°, β = 90.00° and γ = 120.00°. Symmetry generates all atoms from Pa at (0.0000, 0.0000, 0.0000), Co at (0.3333, 0.6667, 0.5000) and Ir at (0.6667, 0.3333, 0.5000).

The theoretical density comes out at 14.50 g/cm³. As for the relative energy among the computed polymorphs: 195 meV/atom. As for the final energy: -8.907 eV per atom. The magnetization is 0.0003 μB per atom. The energy of formation is -0.4190 eV per atom. For the volume, the calculation gives 18.407 A^3/atom.